[1]
Density functional theory data (GGA-PBE) for Pr9Sm2Tm after structural relaxation.

a b c (Å): 5.204 5.204 15.610
angles (deg): 90.00 90.00 90.00
Space group P4/mmm (No. 123)
Unique sites:
Pr (0.000, 0.000, 0.000)
Pr (0.000, 0.000, 0.332)
Pr (0.000, 0.500, 0.165)
Pr (0.000, 0.500, 0.500)
Sm (0.500, 0.500, 0.332)
Tm (0.500, 0.500, 0.000)

Values from the calculation:
Calculated formation energy = 0.01 eV/atom
Theoretical density = 6.826 g/cm3
Density of states at the Fermi level = 20.78 states/eV/f.u.
Spin magnetization = 0.0 μB/cell


[2]
Density functional theory data (GGA-PBE) for GdNb2H after structural relaxation.

a b c (Å): 3.0079 3.0079 25.8659
angles (deg): 90.00 90.00 120.00
Space group R-3m (No. 166, hexagonal axes)
Unique sites:
Gd (0.0000, 0.0000, 0.0000)
Nb (0.0000, 0.0000, 0.1164)
H (0.0000, 0.0000, 0.5000)

Values from the calculation:
Theoretical density = 8.457 g/cm3
Density of states at the Fermi level = 3.74 states/eV/f.u.
Spin magnetization = 21.6 μB/cell
Total energy = -108.735 eV for the cell shown


[3]
Density functional theory data (GGA-PBE) for BeTeRu after structural relaxation.

a b c (Å): 5.938 5.938 5.938
angles (deg): 90.00 90.00 90.00
Space group F-43m (No. 216)
Unique sites:
Be (0.000, 0.000, 0.000)
Te (0.000, 0.000, 0.500)
Ru (0.250, 0.250, 0.250)

Values from the calculation:
Theoretical density = 7.542 g/cm3
Distance to the lowest polymorph of the same formula = 0.000 eV/f.u.
Density of states at the Fermi level = 3.58 states/eV/f.u.
Spin magnetization = 0.0 μB/cell
Uncorrected formation energy = 0.62 eV per formula unit


[4]
Density functional theory data (GGA-PBE) for AlSbAs after structural relaxation.

a b c (Å): 6.801 6.801 6.801
angles (deg): 90.00 90.00 90.00
Space group F-43m (No. 216)
Unique sites:
Al (0.000, 0.000, 0.000)
Sb (0.250, 0.250, 0.250)
As (0.000, 0.000, 0.500)

Values from the calculation:
Theoretical density = 4.724 g/cm3
Density of states at the Fermi level = 1.65 states/eV/f.u.
Spin magnetization = 0.0 μB/cell
Uncorrected formation energy = 1.23 eV per formula unit


[5]
Density functional theory data (GGA-PBE) for CrTcRh after structural relaxation.

a b c (Å): 5.694 5.694 5.694
angles (deg): 90.00 90.00 90.00
Space group F-43m (No. 216)
Unique sites:
Cr (0.000, 0.000, 0.000)
Tc (0.250, 0.250, 0.750)
Rh (0.250, 0.250, 0.250)

Values from the calculation:
Calculated formation energy = 0.45 eV/atom
Theoretical density = 9.097 g/cm3
Distance to the lowest polymorph of the same formula = 1.214 eV/f.u.
Density of states at the Fermi level = 5.21 states/eV/f.u.
Spin magnetization = 0.0 μB/cell


[6]
Density functional theory data (GGA-PBE) for BiHAuIN after structural relaxation.

a b c (Å): 3.819 5.728 5.733
angles (deg): 82.48 76.79 71.22
Space group P1 (No. 1)
Unique sites:
Bi (0.000, 0.000, 0.000)
H (0.287, 0.377, 0.067)
Au (0.175, 0.164, 0.529)
I (0.682, 0.652, 0.591)
N (0.356, 0.196, 0.134)

Values from the calculation:
Theoretical density = 7.885 g/cm3
Distance to the lowest polymorph of the same formula = 0.000 eV/f.u.
Density of states at the Fermi level = 0.40 states/eV/f.u.
Spin magnetization = 0.0 μB/cell


[7]
Density functional theory data (GGA-PBE) for MoAsAu after structural relaxation.

a b c (Å): 6.351 6.351 6.351
angles (deg): 90.00 90.00 90.00
Space group F-43m (No. 216)
Unique sites:
Mo (0.000, 0.000, 0.000)
As (0.000, 0.000, 0.500)
Au (0.250, 0.250, 0.750)

Values from the calculation:
Calculated formation energy = 0.86 eV/atom
Theoretical density = 9.539 g/cm3
Distance to the lowest polymorph of the same formula = 2.058 eV/f.u.
Density of states at the Fermi level = 1.77 states/eV/f.u.
Spin magnetization = 13.6 μB/cell


[8]
Density functional theory data (GGA-PBE) for Na2SrGaF after structural relaxation.

a b c (Å): 4.857 4.857 5.149
angles (deg): 90.00 90.00 90.00
Space group P4/mmm (No. 123)
Unique sites:
Na (0.000, 0.500, 0.000)
Sr (0.000, 0.000, 0.500)
Ga (0.500, 0.500, 0.500)
F (0.000, 0.000, 0.000)

Values from the calculation:
Theoretical density = 3.039 g/cm3
Distance to the lowest polymorph of the same formula = 0.000 eV/f.u.
Density of states at the Fermi level = 3.98 states/eV/f.u.
Spin magnetization = 0.0 μB/cell
Uncorrected formation energy = -5.58 eV per formula unit


[9]
Density functional theory data (GGA-PBE) for CaLaGe2 after structural relaxation.

a b c (Å): 8.107 8.107 6.741
angles (deg): 90.00 90.00 90.00
Space group I-42d (No. 122)
Unique sites:
Ca (0.000, 0.000, 0.000)
La (0.000, 0.000, 0.500)
Ge (0.241, 0.250, 0.125)

Values from the calculation:
Calculated formation energy = -0.33 eV/atom
Theoretical density = 4.861 g/cm3
Density of states at the Fermi level = 4.02 states/eV/f.u.
Spin magnetization = 0.0 μB/cell


[10]
Density functional theory data (GGA-PBE) for Pr2AlPd6 after structural relaxation.

a b c (Å): 5.8329 5.8329 5.8336
angles (deg): 90.00 90.00 120.00
Space group P-3m1 (No. 164)
Unique sites:
Pr (0.3333, 0.6667, 0.3081)
Al (0.0000, 0.0000, 0.5000)
Pd (0.1713, 0.3425, 0.8064)

Values from the calculation:
Calculated formation energy = -0.82 eV/atom
Theoretical density = 9.152 g/cm3
Distance to the lowest polymorph of the same formula = 0.103 eV/f.u.
Density of states at the Fermi level = 2.75 states/eV/f.u.
Spin magnetization = 0.0 μB/cell


[11]
Density functional theory data (GGA-PBE) for CsNp3F10 after structural relaxation.

a b c (Å): 12.325 12.325 12.325
angles (deg): 90.00 90.00 90.00
Space group Fm-3m (No. 225)
Unique sites:
Cs (0.250, 0.250, 0.250)
Np (0.000, 0.000, 0.240)
F (0.000, 0.165, 0.335)
F (0.110, 0.110, 0.110)

Values from the calculation:
Theoretical density = 7.336 g/cm3
Density of states at the Fermi level = 29.24 states/eV/f.u.
Spin magnetization = 96.0 μB/cell
Uncorrected formation energy = -46.88 eV per formula unit


[12]
Density functional theory data (GGA-PBE) for BaCa2Au4 after structural relaxation.

a b c (Å): 4.093 4.648 20.079
angles (deg): 90.00 90.00 90.00
Space group Immm (No. 71)
Unique sites:
Ba (0.000, 0.000, 0.000)
Ca (0.000, 0.500, 0.188)
Au (0.000, 0.000, 0.427)
Au (0.000, 0.500, 0.340)

Values from the calculation:
Calculated formation energy = -0.78 eV/atom
Theoretical density = 8.741 g/cm3
Density of states at the Fermi level = 2.51 states/eV/f.u.
Spin magnetization = 0.0 μB/cell